[1]
First-principles (PBE-GGA) data for an optimized crystal structure of PmNpHgBi, as listed in Alexandria via LeMat-Bulk.

abc: 5.4399 5.4399 5.4399
angles: 60.00 60.00 60.00
Last column: nearest neighbours and their distance in Å.
Sites, in units of the cell vectors:
Pm (0.0000, 0.0000, 0.0000)  4 Bi 3.33, 4 Hg 3.33
Np (0.5000, 0.5000, 0.5000)  4 Bi 3.33, 4 Hg 3.33
Hg (0.2500, 0.2500, 0.2500)  4 Np 3.33, 4 Pm 3.33
Bi (0.7500, 0.7500, 0.7500)  4 Np 3.33, 4 Pm 3.33

## Properties
**VASP energy**: -22.40 eV per cell
**Space-group type**: No. 216
**Spin magnetization**: 5.5 μB/f.u.



[2]
First-principles (PBE-GGA) data for an optimized crystal structure of Y8AsP4S3, as listed in Alexandria via LeMat-Bulk.

abc: 8.0008 8.0008 8.0008
angles: 59.91 59.91 59.91
Last column: nearest neighbours and their distance in Å.
Sites, in units of the cell vectors:
Y (0.2470, 0.2470, 0.2470)  3 P 2.79, 3 S 2.86
Y (0.2474, 0.7472, 0.7472)  3 P 2.80, 2 S 2.86, 1 As 2.86
Y (0.2528, 0.2528, 0.7526)  3 P 2.80, 2 S 2.86, 1 As 2.86
Y (0.2528, 0.7526, 0.2528)  3 P 2.80, 2 S 2.86, 1 As 2.86
Y (0.7472, 0.2474, 0.7472)  3 P 2.80, 2 S 2.86, 1 As 2.86
Y (0.7472, 0.7472, 0.2474)  3 P 2.80, 2 S 2.86, 1 As 2.86
Y (0.7526, 0.2528, 0.2528)  3 P 2.80, 2 S 2.86, 1 As 2.86
Y (0.7530, 0.7530, 0.7530)  3 P 2.79, 3 S 2.86
As (0.0000, 0.0000, 0.0000)  6 Y 2.86
P (0.0000, 0.0000, 0.5000)  6 Y 2.79-2.80
P (0.0000, 0.5000, 0.0000)  6 Y 2.79-2.80
P (0.5000, 0.0000, 0.0000)  6 Y 2.79-2.80
P (0.5000, 0.5000, 0.5000)  6 Y 2.80
S (0.0000, 0.5000, 0.5000)  6 Y 2.86
S (0.5000, 0.0000, 0.5000)  6 Y 2.86
S (0.5000, 0.5000, 0.0000)  6 Y 2.86

## Properties
**VASP energy**: -119.54 eV per cell
**Space-group type**: No. 166
**Energy relative to the elements, uncorrected**: -1.823 eV/atom
**Spin magnetization**: 0.0 μB/f.u.



[3]
First-principles (PBE-GGA) data for an optimized crystal structure of ZrRh3, as listed in Alexandria via LeMat-Bulk.

abc: 4.8756 4.8756 4.8756
angles: 90.00 90.00 90.00
Last column: nearest neighbours and their distance in Å.
Sites, in units of the cell vectors:
Zr (0.0000, 0.0000, 0.0000)  6 Rh 2.44
Rh (0.0000, 0.0000, 0.5000)  2 Zr 2.44
Rh (0.0000, 0.5000, 0.0000)  2 Zr 2.44
Rh (0.5000, 0.0000, 0.0000)  2 Zr 2.44

## Properties
**VASP energy**: -24.57 eV per cell
**Space-group type**: No. 221
**Spin magnetization**: 1.1 μB/f.u.



[4]
First-principles (PBE-GGA) data for an optimized crystal structure of BeTc2Cl, as listed in Alexandria via LeMat-Bulk.

abc: 4.5721 4.5721 4.5721
angles: 129.74 129.74 73.83
Last column: nearest neighbours and their distance in Å.
Sites, in units of the cell vectors:
Be (0.0000, 0.0000, 0.0000)  4 Cl 2.67, 8 Tc 2.67-2.75
Tc (0.5000, 0.5000, 0.0000)  4 Cl 2.67, 4 Tc 2.67, 4 Be 2.75
Tc (0.7500, 0.2500, 0.5000)  4 Tc 2.67, 4 Be 2.67, 4 Cl 2.75
Cl (0.2500, 0.7500, 0.5000)  8 Tc 2.67-2.75, 4 Be 2.67

## Properties
**VASP energy**: -23.13 eV per cell
**Space-group type**: No. 119
**Energy relative to the elements, uncorrected**: 0.792 eV/atom
**Spin magnetization**: 0.0 μB/f.u.



[5]
First-principles (PBE-GGA) data for an optimized crystal structure of Pr5Sn2Ru, as listed in Alexandria via LeMat-Bulk.

abc: 8.2429 12.5722 4.7426
angles: 90.00 90.00 90.00
Last column: nearest neighbours and their distance in Å.
Sites, in units of the cell vectors:
Pr (0.0000, 0.0000, 0.0000)  4 Sn 3.27, 4 Pr 3.59
Pr (0.1330, 0.2982, 0.0000)  1 Ru 2.76
Pr (0.1885, 0.5667, 0.5000)  2 Ru 2.96
Pr (0.3115, 0.0667, 0.5000)  2 Ru 2.96
Pr (0.3670, 0.7982, 0.0000)  1 Ru 2.76
Pr (0.5000, 0.5000, 0.0000)  4 Sn 3.27, 4 Pr 3.59
Pr (0.6330, 0.2018, 0.0000)  1 Ru 2.76
Pr (0.6885, 0.9333, 0.5000)  2 Ru 2.96
Pr (0.8115, 0.4333, 0.5000)  2 Ru 2.96
Pr (0.8670, 0.7018, 0.0000)  1 Ru 2.76
Sn (0.0797, 0.8287, 0.5000)  9 Pr 3.27-3.55
Sn (0.4203, 0.3287, 0.5000)  9 Pr 3.27-3.55
Sn (0.5797, 0.6713, 0.5000)  9 Pr 3.27-3.55
Sn (0.9203, 0.1713, 0.5000)  9 Pr 3.27-3.55
Ru (0.0000, 0.5000, 0.0000)  6 Pr 2.76-2.96
Ru (0.5000, 0.0000, 0.0000)  6 Pr 2.76-2.96

## Properties
**VASP energy**: -91.06 eV per cell
**Space-group type**: No. 55
**Spin magnetization**: 0.0 μB/f.u.



[6]
First-principles (PBE-GGA) data for an optimized crystal structure of Pa3H12Ru5, as listed in Alexandria via LeMat-Bulk.

abc: 10.0266 10.0266 10.0266
angles: 109.47 109.47 109.47
Last column: nearest neighbours and their distance in Å.
Sites, in units of the cell vectors:
Pa (0.1250, 0.2500, 0.3750)  8 H 2.29-2.37
Pa (0.1250, 0.3750, 0.7500)  8 H 2.29-2.37
Pa (0.2500, 0.3750, 0.1250)  8 H 2.29-2.37
Pa (0.2500, 0.8750, 0.6250)  8 H 2.29-2.37
Pa (0.3750, 0.1250, 0.2500)  8 H 2.29-2.37
Pa (0.3750, 0.7500, 0.1250)  8 H 2.29-2.37
Pa (0.6250, 0.2500, 0.8750)  8 H 2.29-2.37
Pa (0.6250, 0.8750, 0.7500)  8 H 2.29-2.37
Pa (0.7500, 0.1250, 0.3750)  8 H 2.29-2.37
Pa (0.7500, 0.6250, 0.8750)  8 H 2.29-2.37
Pa (0.8750, 0.6250, 0.2500)  8 H 2.29-2.37
Pa (0.8750, 0.7500, 0.6250)  8 H 2.29-2.37
H (0.0195, 0.1937, 0.1013)  2 Ru 1.77-1.78
H (0.0195, 0.3258, 0.9181)  2 Ru 1.77-1.78
H (0.0819, 0.6013, 0.4076)  2 Ru 1.77-1.78
H (0.0819, 0.9805, 0.6742)  2 Ru 1.77-1.78
H (0.0924, 0.6937, 0.6742)  2 Ru 1.77-1.78
H (0.0924, 0.8987, 0.4181)  2 Ru 1.77-1.78
H (0.1013, 0.0195, 0.1937)  2 Ru 1.77-1.78
H (0.1013, 0.5819, 0.9076)  2 Ru 1.77-1.78
H (0.1742, 0.1937, 0.5924)  2 Ru 1.77-1.78
H (0.1742, 0.4805, 0.5819)  2 Ru 1.77-1.78
H (0.1937, 0.1013, 0.0195)  2 Ru 1.77-1.78
H (0.1937, 0.5924, 0.1742)  2 Ru 1.77-1.78
H (0.3063, 0.3258, 0.9076)  2 Ru 1.77-1.78
H (0.3063, 0.4805, 0.3987)  2 Ru 1.77-1.78
H (0.3258, 0.9076, 0.3063)  2 Ru 1.77-1.78
H (0.3258, 0.9181, 0.0195)  2 Ru 1.77-1.78
H (0.3987, 0.3063, 0.4805)  2 Ru 1.77-1.78
H (0.3987, 0.5924, 0.9181)  2 Ru 1.77-1.78
H (0.4076, 0.0819, 0.6013)  2 Ru 1.77-1.78
H (0.4076, 0.8258, 0.8063)  2 Ru 1.77-1.78
H (0.4181, 0.0924, 0.8987)  2 Ru 1.77-1.78
H (0.4181, 0.8258, 0.5195)  2 Ru 1.77-1.78
H (0.4805, 0.3987, 0.3063)  2 Ru 1.77-1.78
H (0.4805, 0.5819, 0.1742)  2 Ru 1.77-1.78
H (0.5195, 0.4181, 0.8258)  2 Ru 1.77-1.78
H (0.5195, 0.6013, 0.6937)  2 Ru 1.77-1.78
H (0.5819, 0.1742, 0.4805)  2 Ru 1.77-1.78
H (0.5819, 0.9076, 0.1013)  2 Ru 1.77-1.78
H (0.5924, 0.1742, 0.1937)  2 Ru 1.77-1.78
H (0.5924, 0.9181, 0.3987)  2 Ru 1.77-1.78
H (0.6013, 0.4076, 0.0819)  2 Ru 1.77-1.78
H (0.6013, 0.6937, 0.5195)  2 Ru 1.77-1.78
H (0.6742, 0.0819, 0.9805)  2 Ru 1.77-1.78
H (0.6742, 0.0924, 0.6937)  2 Ru 1.77-1.78
H (0.6937, 0.5195, 0.6013)  2 Ru 1.77-1.78
H (0.6937, 0.6742, 0.0924)  2 Ru 1.77-1.78
H (0.8063, 0.4076, 0.8258)  2 Ru 1.77-1.78
H (0.8063, 0.8987, 0.9805)  2 Ru 1.77-1.78
H (0.8258, 0.5195, 0.4181)  2 Ru 1.77-1.78
H (0.8258, 0.8063, 0.4076)  2 Ru 1.77-1.78
H (0.8987, 0.4181, 0.0924)  2 Ru 1.77-1.78
H (0.8987, 0.9805, 0.8063)  2 Ru 1.77-1.78
H (0.9076, 0.1013, 0.5819)  2 Ru 1.77-1.78
H (0.9076, 0.3063, 0.3258)  2 Ru 1.77-1.78
H (0.9181, 0.0195, 0.3258)  2 Ru 1.77-1.78
H (0.9181, 0.3987, 0.5924)  2 Ru 1.77-1.78
H (0.9805, 0.6742, 0.0819)  2 Ru 1.77-1.78
H (0.9805, 0.8063, 0.8987)  2 Ru 1.77-1.78
Ru (0.0000, 0.0000, 0.0000)  6 H 1.77
Ru (0.0000, 0.0000, 0.5000)  6 H 1.77
Ru (0.0000, 0.5000, 0.0000)  6 H 1.77
Ru (0.0000, 0.5000, 0.5000)  6 H 1.77
Ru (0.1250, 0.7500, 0.8750)  4 H 1.78
Ru (0.1250, 0.8750, 0.2500)  4 H 1.78
Ru (0.2500, 0.1250, 0.8750)  4 H 1.78
Ru (0.2500, 0.6250, 0.3750)  4 H 1.78
Ru (0.3750, 0.2500, 0.6250)  4 H 1.78
Ru (0.3750, 0.6250, 0.7500)  4 H 1.78
Ru (0.5000, 0.0000, 0.0000)  6 H 1.77
Ru (0.5000, 0.0000, 0.5000)  6 H 1.77
Ru (0.5000, 0.5000, 0.0000)  6 H 1.77
Ru (0.5000, 0.5000, 0.5000)  6 H 1.77
Ru (0.6250, 0.3750, 0.2500)  4 H 1.78
Ru (0.6250, 0.7500, 0.3750)  4 H 1.78
Ru (0.7500, 0.3750, 0.6250)  4 H 1.78
Ru (0.7500, 0.8750, 0.1250)  4 H 1.78
Ru (0.8750, 0.1250, 0.7500)  4 H 1.78
Ru (0.8750, 0.2500, 0.1250)  4 H 1.78

## Properties
**VASP energy**: -468.94 eV per cell
**Space-group type**: No. 230
**Spin magnetization**: 3.2 μB/f.u.



[7]
First-principles (PBE-GGA) data for an optimized crystal structure of LaFeSe2, as listed in Alexandria via LeMat-Bulk.

abc: 3.5476 3.5476 6.9425
angles: 90.00 90.00 90.00
Last column: nearest neighbours and their distance in Å.
Sites, in units of the cell vectors:
La (0.0000, 0.0000, 0.0000)  8 Se 3.13, 2 Fe 3.47
Fe (0.0000, 0.0000, 0.5000)  8 Se 2.98
Se (0.5000, 0.5000, 0.2684)  4 Fe 2.98, 4 La 3.13, 1 Se 3.22
Se (0.5000, 0.5000, 0.7316)  4 Fe 2.98, 4 La 3.13, 1 Se 3.22

## Properties
**VASP energy**: -23.02 eV per cell
**Space-group type**: No. 123
**Energy relative to the elements, uncorrected**: -0.666 eV/atom
**Spin magnetization**: 3.4 μB/f.u.



[8]
First-principles (PBE-GGA) data for an optimized crystal structure of Li4CaMg5, as listed in Alexandria via LeMat-Bulk.

abc: 3.5516 3.5516 17.8375
angles: 90.00 90.00 90.00
Last column: nearest neighbours and their distance in Å.
Sites, in units of the cell vectors:
Li (0.0000, 0.0000, 0.0922)  8 Mg 3.00, 2 Li 3.29
Li (0.0000, 0.0000, 0.2766)  8 Mg 2.98-3.00, 1 Li 3.29
Li (0.0000, 0.0000, 0.7234)  8 Mg 2.98-3.00, 1 Li 3.29
Li (0.0000, 0.0000, 0.9078)  8 Mg 3.00, 2 Li 3.29
Ca (0.0000, 0.0000, 0.5000)  8 Mg 3.46, 4 Ca 3.55
Mg (0.5000, 0.5000, 0.0000)  8 Li 3.00, 2 Mg 3.29
Mg (0.5000, 0.5000, 0.1842)  8 Li 3.00, 2 Mg 3.25-3.29
Mg (0.5000, 0.5000, 0.3666)  4 Li 2.98, 1 Mg 3.25
Mg (0.5000, 0.5000, 0.6334)  4 Li 2.98, 1 Mg 3.25
Mg (0.5000, 0.5000, 0.8158)  8 Li 3.00, 2 Mg 3.25-3.29

## Properties
**VASP energy**: -18.20 eV per cell
**Space-group type**: No. 123
**Spin magnetization**: 0.0 μB/f.u.